# 1
MgZnPS2 | SCAN | PBEsol geometry

a b c (Å): 4.7574 4.7574 4.3913
angles (deg): 90.00 90.00 90.00
With the nearest neighbours (Å) after each atom.
Space group P4/mmm (No. 123)
Inequivalent atoms, fractional coordinates:
Mg (0.0000, 0.0000, 0.0000)  8 S 3.24, 4 P 3.36
Zn (0.5000, 0.5000, 0.5000)  2 P 2.20, 4 S 2.38
P (0.5000, 0.5000, 0.0000)  2 Zn 2.20
S (0.0000, 0.5000, 0.5000)  2 Zn 2.38

Results
- E_tot: -46.5 eV per formula unit
- Crystal system: tetragonal

# 2
MgSbP2 | SCAN | PBEsol geometry

a b c (Å): 4.6903 4.6903 3.3470
angles (deg): 90.00 90.00 90.00
With the nearest neighbours (Å) after each atom.
Space group P4/mmm (No. 123)
Inequivalent atoms, fractional coordinates:
Mg (0.0000, 0.0000, 0.0000)  8 P 2.88
Sb (0.5000, 0.5000, 0.0000)  8 P 2.88
P (0.0000, 0.5000, 0.5000)  4 Sb 2.88, 4 Mg 2.88

Results
- E_tot: -62.1 eV per formula unit
- Offset from the most stable computed form: 0.000 eV/atom
- Crystal system: tetragonal

# 3
Mg2SbP | SCAN | PBEsol geometry

a b c (Å): 11.5684 3.8897 4.0607
angles (deg): 90.00 110.18 90.00
With the nearest neighbours (Å) after each atom.
Space group Cm (No. 8)
Inequivalent atoms, fractional coordinates:
Mg (0.0000, 0.0000, 0.0000)  1 P 2.56
Mg (0.2158, 0.5000, 0.4723)  4 P 2.75-2.87
Sb (0.4313, 0.0000, 0.4284)  1 P 2.58
P (0.2150, 0.0000, 0.9502)  3 Mg 2.56-2.75, 1 Sb 2.58

Results
- E_tot: -58.7 eV per formula unit
- Offset from the most stable computed form: 0.000 eV/atom
- Crystal system: monoclinic

no.,raw formation energy (eV/f.u.),magnetic moment (Bohr magnetons per cell)
1,1.6,0.0
2,0.9,0.0
3,-1.1,0.0